This record from the Alexandria database describes crystalline Co2TcO at its relaxed geometry. The functional is GGA+U.

E: -6.002 eV/atom
SG: I-42d

Cell lengths 5.185, 5.185, 5.185 Å; angles 99.69, 99.69, 131.55 degrees
Fractional positions:
Co 0.036 0.125 0.411
Co 0.375 0.964 0.089
Co 0.714 0.625 0.589
Co 0.875 0.286 0.911
Tc 0.250 0.750 0.500
Tc 0.500 0.500 0.000
O 0.000 0.000 0.000
O 0.750 0.250 0.500